Record 1
This record from Alexandria via LeMat-Bulk describes a relaxed Cs2NbAu4 crystal. The functional is PBE.

uncorrected energy: -3.420 eV per atom
density of states at the Fermi level: 0.90 states/eV per atom
size of the total moment: 0.0 Bohr magnetons per cell
space group: I4/mmm, No. 139

Cell: 5.3172 5.3172 9.8385 Å, 74.32 74.32 90.00°
Fractional positions:
Cs  0.3554  0.3554  0.2892
Nb  0.0000  0.0000  0.0000
Au  0.1459  0.1459  0.7082
Au  0.5000  0.0000  0.0000
Au  0.0000  0.5000  0.0000
Cs  0.6446  0.6446  0.7108
Au  0.8541  0.8541  0.2918

***

Record 2
This record from Alexandria via LeMat-Bulk describes a relaxed ZrAuSe3 crystal. The functional is PBE.

distance to the lowest polymorph of the same formula: 530 meV/atom
uncorrected energy: -4.539 eV per atom
density of states at the Fermi level: 0.59 states/eV per atom
formation energy (no corrections): -83 meV per atom
size of the total moment: 0.0 Bohr magnetons per cell
space group: Pm-3m, No. 221

Cell: 5.2074 5.2074 5.2074 Å, 90.00 90.00 90.00°
Fractional positions:
Zr  0.0000  0.0000  0.0000
Se  0.0000  0.0000  0.5000
Au  0.5000  0.5000  0.5000
Se  0.5000  0.0000  0.0000
Se  0.0000  0.5000  0.0000

***

Record 3
This record from Alexandria via LeMat-Bulk describes a relaxed AlInRh crystal. The functional is PBE.

uncorrected energy: -5.023 eV per atom
density of states at the Fermi level: 0.62 states/eV per atom
size of the total moment: 0.0 Bohr magnetons per cell
space group: F-43m, No. 216

Cell: 4.3471 4.3471 4.3471 Å, 60.00 60.00 60.00°
Fractional positions:
Al  0.0000  0.0000  0.0000
Rh  0.7500  0.7500  0.7500
In  0.5000  0.5000  0.5000

***

Record 4
This record from Alexandria via LeMat-Bulk describes a relaxed Si2P crystal. The functional is PBE.

distance to the lowest polymorph of the same formula: 527 meV/atom
uncorrected energy: -4.888 eV per atom
density of states at the Fermi level: 0.35 states/eV per atom
formation energy (no corrections): 530 meV per atom
size of the total moment: 0.0 Bohr magnetons per cell
space group: P-62m, No. 189

Cell: 6.9349 6.9349 3.2811 Å, 90.00 90.00 120.00°
Fractional positions:
Si  0.7313  0.7313  0.0000
Si  0.4322  0.4322  0.5000
Si  0.0000  0.5678  0.5000
P  0.6667  0.3333  0.0000
Si  0.0000  0.2687  0.0000
Si  0.5678  0.0000  0.5000
P  0.0000  0.0000  0.5000
Si  0.2687  0.0000  0.0000
P  0.3333  0.6667  0.0000

***

Record 5
This record from Alexandria via LeMat-Bulk describes a relaxed Co3BiRh crystal. The functional is PBE.

distance to the lowest polymorph of the same formula: 753 meV/atom
uncorrected energy: -4.698 eV per atom
density of states at the Fermi level: 2.21 states/eV per atom
size of the total moment: 5.4 Bohr magnetons per cell
space group: Pm-3m, No. 221

Cell: 4.6924 4.6924 4.6924 Å, 90.00 90.00 90.00°
Fractional positions:
Co  0.0000  0.0000  0.5000
Co  0.0000  0.5000  0.0000
Bi  0.0000  0.0000  0.0000
Rh  0.5000  0.5000  0.5000
Co  0.5000  0.0000  0.0000